Material: Ce2Pm2Ru3
Method: DFT, PBE
State: optimized geometry

POSCAR file:
```
Ce2Pm2Ru3
1.0
-1.6136 -4.0858 -0.6428
5.7124 0.8583 -1.8813
1.2168 -2.2049 6.9940
Ce Pm Ru
2 2 3
Direct
0.6401 0.2641 0.9020
0.3599 0.7359 0.0980
0.8871 0.7420 0.6356
0.1129 0.2580 0.3644
0.0000 0.0000 0.0000
0.8260 0.6237 0.2437
0.1740 0.3763 0.7563
```

density: 8.1 Mg/m³
size of the total moment: 0.0 μB per formula unit
E_form: -0.259 eV per atom
final energy: -7.2870 eV per atom
space-group type: P-1 (2)

Material: Cd4Br5
Method: DFT, PBE
State: optimized geometry

POSCAR file:
```
Cd4Br5
1.0
6.7887 0.0000 2.8269
3.3944 6.3725 1.4135
0.9446 0.0000 7.2963
Cd Br
4 5
Direct
0.0000 0.6614 0.3386
0.0000 0.3386 0.6614
0.6614 0.3386 0.3386
0.3386 0.6614 0.6614
0.0000 0.0000 0.0000
0.7031 0.0000 0.5937
0.7031 0.5937 0.0000
0.2969 0.4063 0.0000
0.2969 0.0000 0.4063
```

density: 4.7 Mg/m³
formation energy from raw total energies: -0.4384 eV per atom
size of the total moment: 0.0 μB per formula unit
final energy: -1.7745 eV per atom
space-group type: I4/mmm (139)

Material: Pm12Pd2Rh5
Method: DFT, PBE
State: optimized geometry

POSCAR file:
```
Pm12Pd2Rh5
1.0
-1.4978 1.5687 7.0141
8.4202 -3.0509 -1.3620
0.6179 8.9062 -1.8599
Pm Pd Rh
12 2 5
Direct
0.9774 0.9548 0.1981
0.0854 0.6485 0.8962
0.5631 0.6485 0.8962
0.0897 0.6919 0.4351
0.6022 0.6919 0.4351
0.5008 0.0015 0.7258
0.4992 0.9985 0.2742
0.9103 0.3081 0.5649
0.3978 0.3081 0.5649
0.9146 0.3515 0.1038
0.4369 0.3515 0.1038
0.0226 0.0452 0.8019
0.7011 0.0000 0.0000
0.2989 0.0000 0.0000
0.3035 0.6071 0.6430
0.3199 0.6398 0.1663
0.0000 0.0000 0.5000
0.6801 0.3602 0.8337
0.6965 0.3929 0.3570
```

density: 7.6 Mg/m³
size of the total moment: 0.0 μB per formula unit
E_form: -0.509 eV per atom
final energy: -5.9904 eV per atom
space-group type: C2/m (12)

Material: Na2LiNbF6
Method: DFT, PBE
State: optimized geometry

POSCAR file:
```
Na2LiNbF6
1.0
0.0000 4.0843 4.0843
4.0843 0.0000 4.0843
4.0843 4.0843 0.0000
Na Li Nb F
2 1 1 6
Direct
0.2500 0.2500 0.2500
0.7500 0.7500 0.7500
0.5000 0.5000 0.5000
0.0000 0.0000 0.0000
0.7442 0.2558 0.2558
0.7442 0.2558 0.7442
0.2558 0.7442 0.7442
0.2558 0.2558 0.7442
0.7442 0.7442 0.2558
0.2558 0.7442 0.2558
```

density: 3.2 Mg/m³
formation energy from raw total energies: -2.6540 eV per atom
size of the total moment: 2.0 μB per formula unit
final energy: -5.2390 eV per atom
space-group type: Fm-3m (225)

Material: ZrTl2P2
Method: DFT, PBE
State: optimized geometry

POSCAR file:
```
ZrTl2P2
1.0
-5.7096 -2.3281 2.8320
-0.6974 -4.4560 -5.0692
2.5951 -3.2854 2.5310
P Tl Zr
4 4 2
Direct
0.3828 0.8828 0.0000
0.8828 0.6172 0.0000
0.6172 0.1172 0.0000
0.1172 0.3828 0.0000
0.1994 0.6994 0.5000
0.6994 0.8006 0.5000
0.8006 0.3006 0.5000
0.3006 0.1994 0.5000
0.0000 0.0000 0.0000
0.5000 0.5000 0.0000
```

density: 8.3 Mg/m³
size of the total moment: 0.0 μB per formula unit
E_form: -0.109 eV per atom
final energy: -4.9289 eV per atom
space-group type: P4/mbm (127)

Material: TbPmDyN3
Method: DFT, PBE
State: optimized geometry

POSCAR file:
```
TbPmDyN3
1.0
3.5002 0.0000 0.0000
0.0000 6.0446 0.3084
0.0000 -2.2725 8.8228
Tb Pm Dy N
2 2 2 6
Direct
0.2500 0.7693 0.0450
0.7500 0.2307 0.9550
0.7500 0.6574 0.6986
0.2500 0.3426 0.3014
0.2500 0.1524 0.6389
0.7500 0.8476 0.3611
0.2500 0.7528 0.4951
0.7500 0.0350 0.1547
0.7500 0.5376 0.1695
0.7500 0.2472 0.5049
0.2500 0.4624 0.8305
0.2500 0.9650 0.8453
```

density: 8.9 Mg/m³
formation energy from raw total energies: -1.4064 eV per atom
size of the total moment: 0.0 μB per formula unit
final energy: -7.8996 eV per atom
space-group type: P2_1/m (11)

Please write out number 3 again, unchanged.
Material: Pm12Pd2Rh5
Method: DFT, PBE
State: optimized geometry

POSCAR file:
```
Pm12Pd2Rh5
1.0
-1.4978 1.5687 7.0141
8.4202 -3.0509 -1.3620
0.6179 8.9062 -1.8599
Pm Pd Rh
12 2 5
Direct
0.9774 0.9548 0.1981
0.0854 0.6485 0.8962
0.5631 0.6485 0.8962
0.0897 0.6919 0.4351
0.6022 0.6919 0.4351
0.5008 0.0015 0.7258
0.4992 0.9985 0.2742
0.9103 0.3081 0.5649
0.3978 0.3081 0.5649
0.9146 0.3515 0.1038
0.4369 0.3515 0.1038
0.0226 0.0452 0.8019
0.7011 0.0000 0.0000
0.2989 0.0000 0.0000
0.3035 0.6071 0.6430
0.3199 0.6398 0.1663
0.0000 0.0000 0.5000
0.6801 0.3602 0.8337
0.6965 0.3929 0.3570
```

density: 7.6 Mg/m³
size of the total moment: 0.0 μB per formula unit
E_form: -0.509 eV per atom
final energy: -5.9904 eV per atom
space-group type: C2/m (12)

Q: The highest final energy belongs to which entry?
A: Cd4Br5